Record 1
# CaSbW2

CaSbW2 after structural relaxation (PBE-GGA, Alexandria via LeMat-Bulk).

* space-group type: I4/mmm, No. 139
* calculated density: 11098 kg/m3
* raw total energy: -7.267 eV/atom

```
4
Lattice="-2.0181 2.0181 4.8636 2.0181 -2.0181 4.8636 2.0181 2.0181 -4.8636" Properties=species:S:1:pos:R:3 pbc="T T T"
Ca 0.0000 0.0000 0.0000
Sb 0.0000 0.0000 4.8636
W 2.0181 0.0000 2.4318
W 0.0000 2.0181 2.4318
```


Record 2
# ZrZnN2

ZrZnN2 after structural relaxation (PBE-GGA, Alexandria via LeMat-Bulk).

* space-group type: I-42d, No. 122
* calculated density: 5437 kg/m3
* raw total energy: -7.419 eV/atom

```
8
Lattice="-2.3838 2.3838 4.9619 2.3838 -2.3838 4.9619 2.3838 2.3838 -4.9619" Properties=species:S:1:pos:R:3 pbc="T T T"
Zr 0.0000 0.0000 0.0000
Zr 0.0000 2.3838 2.4809
Zn 2.3838 0.0000 2.4809
Zn 0.0000 0.0000 4.9619
N 3.5757 1.1902 -1.2405
N 1.1902 1.1919 1.2405
N -1.1919 1.1935 3.7214
N 1.1935 1.1919 6.2023
```


The lowest calculated density belongs to which entry?
ZrZnN2